Material: MgFeTeO6
Method: DFT, GGA+U
State: relaxed

Crystal system ... trigonal
Uncorrected energy ... -5.726 eV per atom

Cell: 5.0099 5.0099 9.1850 Å, 90.00 90.00 120.00°
Space group P-31c (No. 163)
Inequivalent atoms, fractional coordinates:
Mg 0.0000 0.0000 0.0000 (multiplicity 2)
Fe 0.3333 0.6667 0.2500 (multiplicity 2)
Te 0.3333 0.6667 0.7500 (multiplicity 2)
O 0.0063 0.3581 0.1355 (multiplicity 12)